HAuO2 | PBE | optimized geometry

Output
**Relative energy among the computed polymorphs**: 1120 meV per atom
**Space group**: R-3m (166)

The structure in CIF format:
```
data_HAuO2
_chemical_formula_sum 'H3 Au3 O6'
_cell_length_a 2.775
_cell_length_b 2.775
_cell_length_c 17.088
_cell_angle_alpha 90.00
_cell_angle_beta 90.00
_cell_angle_gamma 120.00
_symmetry_space_group_name_H-M 'P 1'
_symmetry_Int_Tables_number 1
_symmetry_space_group_name_Hall 'P 1'
loop_
_atom_site_label
_atom_site_type_symbol
_atom_site_fract_x
_atom_site_fract_y
_atom_site_fract_z
H1 H 0.000 0.000 0.000
H2 H 0.333 0.667 0.667
H3 H 0.667 0.333 0.333
Au1 Au 0.000 0.000 0.500
Au2 Au 0.333 0.667 0.167
Au3 Au 0.667 0.333 0.833
O1 O 0.000 0.000 0.386
O2 O 0.000 0.000 0.614
O3 O 0.333 0.667 0.052
O4 O 0.333 0.667 0.281
O5 O 0.667 0.333 0.719
O6 O 0.667 0.333 0.948
```

La2IBr | PBE | optimized geometry

Output
**Formation energy without anion corrections**: -2.551 eV per formula unit
**Relative energy among the computed polymorphs**: 510 meV per atom
**Space group**: I-42d (122)

The structure in CIF format:
```
data_La2IBr
_chemical_formula_sum 'La8 I4 Br4'
_cell_length_a 7.140
_cell_length_b 7.140
_cell_length_c 13.929
_cell_angle_alpha 90.00
_cell_angle_beta 90.00
_cell_angle_gamma 90.00
_symmetry_space_group_name_H-M 'P 1'
_symmetry_Int_Tables_number 1
_symmetry_space_group_name_Hall 'P 1'
loop_
_atom_site_label
_atom_site_type_symbol
_atom_site_fract_x
_atom_site_fract_y
_atom_site_fract_z
La1 La 0.225 0.250 0.125
La2 La 0.250 0.725 0.375
La3 La 0.250 0.775 0.875
La4 La 0.275 0.250 0.625
La5 La 0.725 0.750 0.625
La6 La 0.750 0.225 0.875
La7 La 0.750 0.275 0.375
La8 La 0.775 0.750 0.125
I1 I 0.000 0.000 0.500
I2 I 0.000 0.500 0.750
I3 I 0.500 0.000 0.250
I4 I 0.500 0.500 0.000
Br1 Br 0.000 0.000 0.000
Br2 Br 0.000 0.500 0.250
Br3 Br 0.500 0.000 0.750
Br4 Br 0.500 0.500 0.500
```

SiTe2W | PBE | optimized geometry

Output
**Formation energy without anion corrections**: 3.358 eV per formula unit
**Space group**: P2/m (10)

The structure in CIF format:
```
data_SiTe2W
_chemical_formula_sum 'Si1 Te2 W1'
_cell_length_a 2.901
_cell_length_b 4.456
_cell_length_c 6.875
_cell_angle_alpha 90.00
_cell_angle_beta 90.61
_cell_angle_gamma 90.00
_symmetry_space_group_name_H-M 'P 1'
_symmetry_Int_Tables_number 1
_symmetry_space_group_name_Hall 'P 1'
loop_
_atom_site_label
_atom_site_type_symbol
_atom_site_fract_x
_atom_site_fract_y
_atom_site_fract_z
Si1 Si 0.000 0.000 0.000
Te1 Te 0.207 0.500 0.265
Te2 Te 0.793 0.500 0.735
W1 W 0.000 0.000 0.500
```

Mg2CoH5 | PBE | optimized geometry

Output
**Relative energy among the computed polymorphs**: 13 meV per atom
**Space group**: I4mm (107)

The structure in CIF format:
```
data_Mg2CoH5
_chemical_formula_sum 'Mg4 Co2 H10'
_cell_length_a 4.418
_cell_length_b 4.418
_cell_length_c 6.574
_cell_angle_alpha 90.00
_cell_angle_beta 90.00
_cell_angle_gamma 90.00
_symmetry_space_group_name_H-M 'P 1'
_symmetry_Int_Tables_number 1
_symmetry_space_group_name_Hall 'P 1'
loop_
_atom_site_label
_atom_site_type_symbol
_atom_site_fract_x
_atom_site_fract_y
_atom_site_fract_z
Mg1 Mg 0.000 0.500 0.000
Mg2 Mg 0.000 0.500 0.500
Mg3 Mg 0.500 0.000 0.000
Mg4 Mg 0.500 0.000 0.500
Co1 Co 0.000 0.000 0.240
Co2 Co 0.500 0.500 0.740
H1 H 0.000 0.000 0.003
H2 H 0.244 0.244 0.263
H3 H 0.244 0.756 0.263
H4 H 0.256 0.256 0.763
H5 H 0.256 0.744 0.763
H6 H 0.500 0.500 0.503
H7 H 0.744 0.256 0.763
H8 H 0.744 0.744 0.763
H9 H 0.756 0.244 0.263
H10 H 0.756 0.756 0.263
```